{
  "formula": "Tb3Nd2In4",
  "functional": "PBE",
  "state": "optimized geometry",
  "cell": [[-4.0272, 4.3119, 3.9654], [2.8235, -4.2943, 7.5371], [8.4287, 3.2257, -1.3196]],
  "species": ["Tb", "Tb", "Tb", "Tb", "Tb", "Tb", "In", "In", "In", "In", "In", "In", "In", "In", "Nd", "Nd", "Nd", "Nd"],
  "fractional_positions": [[0.4701, 0.2500, 0.4402], [0.0000, 0.0000, 0.0000], [0.5299, 0.7500, 0.5598], [0.5000, 0.5000, 0.0000], [0.0299, 0.7500, 0.5598], [0.9701, 0.2500, 0.4402], [0.3176, 0.4617, 0.6352], [0.7132, 0.7500, 0.9264], [0.6824, 0.5383, 0.3648], [0.2868, 0.2500, 0.0736], [0.8176, 0.0383, 0.6352], [0.7868, 0.2500, 0.0736], [0.1824, 0.9617, 0.3648], [0.2132, 0.7500, 0.9264], [0.1080, 0.5770, 0.2160], [0.8920, 0.4230, 0.7840], [0.6080, 0.9230, 0.2160], [0.3920, 0.0770, 0.7840]],
  "total_energy_ev_per_atom": -4.122,
  "magnetic_moment_mub_per_fu": 0.00
}